(1)
First-principles (GGA-PBE) data for a relaxed structure of NdRhPb2O6, as listed in the Alexandria database.

Geometry as POSCAR:
```
NdRhPb2O6
1.0
5.882 0.000 0.000
0.000 5.953 0.000
-5.857 0.000 8.362
Nd Rh Pb O
2 2 4 12
direct
0.000 0.000 0.000 Nd
0.000 0.500 0.500 Nd
0.500 0.000 0.500 Rh
0.500 0.500 0.000 Rh
0.246 0.041 0.754 Pb
0.246 0.459 0.254 Pb
0.754 0.541 0.746 Pb
0.754 0.959 0.246 Pb
0.168 0.182 0.442 O
0.168 0.318 0.942 O
0.283 0.714 0.451 O
0.283 0.786 0.951 O
0.379 0.033 0.272 O
0.379 0.467 0.772 O
0.621 0.533 0.228 O
0.621 0.967 0.728 O
0.717 0.214 0.049 O
0.717 0.286 0.549 O
0.832 0.682 0.058 O
0.832 0.818 0.558 O
```

Space group: P2_1/c, No. 14
VASP energy (eV per cell): -127.90
Total magnetic moment (Bohr magnetons per cell): 0.0
ΔE_f (raw) (meV per atom): -1467

(2)
First-principles (GGA-PBE) data for a relaxed structure of Cr2FeGeH, as listed in the Alexandria database.

Geometry as POSCAR:
```
Cr2FeGeH
1.0
3.728 0.000 0.000
0.000 3.728 0.000
0.000 0.000 3.695
Cr Fe Ge H
2 1 1 1
direct
0.000 0.500 0.000 Cr
0.500 0.000 0.000 Cr
0.000 0.000 0.500 Fe
0.500 0.500 0.500 Ge
0.000 0.000 0.000 H
```

Space group: P4/mmm, No. 123
VASP energy (eV per cell): -35.60
Total magnetic moment (Bohr magnetons per cell): 4.4

(3)
First-principles (GGA-PBE) data for a relaxed structure of ZrTcW2, as listed in the Alexandria database.

Geometry as POSCAR:
```
ZrTcW2
1.0
1.603 -2.316 0.000
1.603 2.316 0.000
0.000 0.000 9.147
Zr Tc W
1 1 2
direct
0.000 0.000 0.000 Zr
0.000 0.000 0.500 Tc
0.500 0.500 0.268 W
0.500 0.500 0.732 W
```

Space group: Cmmm, No. 65
VASP energy (eV per cell): -44.31
Energy of formation (kJ per mole of atoms): 12.22
Energy above the lowest structure with this stoichiometry (eV per atom): 0.2095
Total magnetic moment (Bohr magnetons per cell): 0.0

(4)
First-principles (GGA-PBE) data for a relaxed structure of Pm5TePd2, as listed in the Alexandria database.

Geometry as POSCAR:
```
Pm5TePd2
1.0
-4.031 4.031 6.861
4.031 -4.031 6.861
4.031 4.031 -6.861
Pm Te Pd
10 2 4
direct
0.000 0.000 0.000 Pm
0.014 0.514 0.810 Pm
0.204 0.014 0.500 Pm
0.296 0.796 0.810 Pm
0.486 0.296 0.500 Pm
0.500 0.500 0.000 Pm
0.514 0.704 0.500 Pm
0.704 0.204 0.190 Pm
0.796 0.986 0.500 Pm
0.986 0.486 0.190 Pm
0.250 0.250 0.000 Te
0.750 0.750 0.000 Te
0.134 0.366 0.500 Pd
0.366 0.866 0.231 Pd
0.634 0.134 0.769 Pd
0.866 0.634 0.500 Pd
```

Space group: I4/mcm, No. 140
VASP energy (eV per cell): -86.37
Total magnetic moment (Bohr magnetons per cell): 0.0
ΔE_f (raw) (meV per atom): -738

(5)
First-principles (GGA-PBE) data for a relaxed structure of Ce8InIr6, as listed in the Alexandria database.

Geometry as POSCAR:
```
Ce8InIr6
1.0
10.287 0.000 0.000
-5.143 8.909 0.000
0.000 0.000 4.028
Ce In Ir
8 1 6
direct
0.054 0.323 0.266 Ce
0.270 0.946 0.266 Ce
0.323 0.270 0.734 Ce
0.333 0.667 0.756 Ce
0.667 0.333 0.244 Ce
0.677 0.730 0.266 Ce
0.730 0.054 0.734 Ce
0.946 0.677 0.734 Ce
0.000 0.000 0.000 In
0.096 0.622 0.241 Ir
0.378 0.474 0.241 Ir
0.474 0.096 0.759 Ir
0.526 0.904 0.241 Ir
0.622 0.526 0.759 Ir
0.904 0.378 0.759 Ir
```

Space group: P-3, No. 147
VASP energy (eV per cell): -112.16
Energy of formation (kJ per mole of atoms): -56.49
Total magnetic moment (Bohr magnetons per cell): 0.6

(6)
First-principles (GGA-PBE) data for a relaxed structure of Te2MoCl, as listed in the Alexandria database.

Geometry as POSCAR:
```
Te2MoCl
1.0
1.540 0.889 11.848
-1.540 0.889 11.848
0.000 -1.778 11.848
Te Mo Cl
2 1 1
direct
0.078 0.078 0.078 Te
0.922 0.922 0.922 Te
0.000 0.000 0.000 Mo
0.500 0.500 0.500 Cl
```

Space group: R-3m, No. 166
VASP energy (eV per cell): -16.39
Energy above the lowest structure with this stoichiometry (eV per atom): 0.8095
Total magnetic moment (Bohr magnetons per cell): 0.0
ΔE_f (raw) (meV per atom): 644